{"formula": "Sr2FeSO3", "functional": "PBE with a Hubbard U", "state": "optimized geometry", "dos_at_fermi_per_ev_atom": 0.320, "e_tot_ev_per_atom": -5.96, "sg": "P4/nmm, No. 129", "lattice": [[3.996, 0.000, 0.000], [0.000, 3.996, 0.000], [0.000, 0.000, 13.943]], "species": ["Sr", "Sr", "Sr", "Sr", "Fe", "Fe", "S", "S", "O", "O", "O", "O", "O", "O"], "fractional_positions": [[0.250, 0.250, 0.098], [0.250, 0.250, 0.357], [0.750, 0.750, 0.643], [0.750, 0.750, 0.902], [0.250, 0.250, 0.782], [0.750, 0.750, 0.218], [0.250, 0.250, 0.585], [0.750, 0.750, 0.415], [0.250, 0.250, 0.921], [0.250, 0.750, 0.229], [0.250, 0.750, 0.771], [0.750, 0.250, 0.229], [0.750, 0.250, 0.771], [0.750, 0.750, 0.079]]}